Model i:
Compound: CdPt2I
Source: the Alexandria database
Functional: PBE-GGA
Structure: relaxed

The space group is I-42d (No. 122) and the conventional cell measures 4.2708, 4.2708 and 18.7796 Å, with angles of 90.00, 90.00 and 90.00 degrees. Symmetry generates all atoms from Cd at (0.0000, 0.0000, 0.0000), Pt at (0.2448, 0.2500, 0.1250) and I at (0.0000, 0.0000, 0.5000).

As for the volume: 21.41 Å³ per atom.



Model ii:
Compound: CdPt2I
Source: the Alexandria database
Functional: PBE-GGA
Structure: relaxed

The space group is Fm-3m (No. 225) and the conventional cell measures 6.8114, 6.8114 and 6.8114 Å, with angles of 90.00, 90.00 and 90.00 degrees. Symmetry generates all atoms from Cd at (0.0000, 0.0000, 0.0000), Pt at (0.2500, 0.2500, 0.2500) and I at (0.0000, 0.0000, 0.5000).

As for the volume: 19.75 Å³ per atom.



It is model i that is most stable; the runner-up trails by 51 meV per atom.



Model i:
Compound: RbCdI
Source: the Alexandria database
Functional: PBE-GGA
Structure: relaxed

The space group is P1 (No. 1) and the conventional cell measures 4.4737, 4.4742 and 12.4036 Å, with angles of 92.60, 92.27 and 90.04 degrees. Symmetry generates all atoms from Rb at (0.0000, 0.0000, 0.0000), Rb at (0.0539, 0.0430, 0.3593), Cd at (0.0939, 0.5894, 0.6136), Cd at (0.5945, 0.0888, 0.6136), I at (0.4827, 0.4807, 0.8500) and I at (0.5370, 0.5241, 0.2078).

As for the volume: 41.30 Å³ per atom.



Model ii:
Compound: RbCdI
Source: the Alexandria database
Functional: PBE-GGA
Structure: relaxed

The space group is P1 (No. 1) and the conventional cell measures 4.6584, 4.6609 and 6.9739 Å, with angles of 109.26, 109.42 and 90.04 degrees. Symmetry generates all atoms from Rb at (0.0000, 0.0000, 0.0000), Cd at (0.3118, 0.3146, 0.6233) and I at (0.6460, 0.6447, 0.2927).

As for the volume: 44.59 Å³ per atom.



Model iii:
Compound: RbCdI
Source: the Alexandria database
Functional: PBE-GGA
Structure: relaxed

The space group is P1 (No. 1) and the conventional cell measures 5.1758, 5.1771 and 12.0395 Å, with angles of 89.90, 77.62 and 60.05 degrees. Symmetry generates all atoms from Rb at (0.0000, 0.0000, 0.0000), Rb at (0.2563, 0.8731, 0.6130), Cd at (0.0710, 0.4668, 0.3892), Cd at (0.7348, 0.1343, 0.3935), I at (0.4689, 0.2668, 0.7957) and I at (0.5470, 0.7249, 0.1806).

As for the volume: 45.15 Å³ per atom.



Model iv:
Compound: RbCdI
Source: the Alexandria database
Functional: PBE-GGA
Structure: relaxed

The space group is Cm (No. 8) and the conventional cell measures 13.1932, 5.5283 and 7.7642 Å, with angles of 90.00, 105.81 and 90.00 degrees. Symmetry generates all atoms from Rb at (0.0000, 0.0000, 0.0000), Rb at (0.1578, 0.5000, 0.6157), Cd at (0.3884, 0.0000, 0.2624), Cd at (0.4484, 0.5000, 0.4534), I at (0.1929, 0.5000, 0.1306) and I at (0.3488, 0.0000, 0.7214).

As for the volume: 45.41 Å³ per atom.



It is model i that is most stable; the runner-up trails by 7 meV per atom.



Model i:
Compound: Rb2Cd2I
Source: the Alexandria database
Functional: PBE-GGA
Structure: relaxed

The space group is I4/mmm (No. 139) and the conventional cell measures 7.0189, 7.0189 and 10.5904 Å, with angles of 90.00, 90.00 and 90.00 degrees. Symmetry generates all atoms from Rb at (0.0000, 0.5000, 0.2500), Cd at (0.0000, 0.0000, 0.1391) and I at (0.0000, 0.0000, 0.5000).

As for the volume: 52.17 Å³ per atom.



Model ii:
Compound: Rb2Cd2I
Source: the Alexandria database
Functional: PBE-GGA
Structure: relaxed

The space group is P4/mbm (No. 127) and the conventional cell measures 9.7593, 9.7593 and 4.7983 Å, with angles of 90.00, 90.00 and 90.00 degrees. Symmetry generates all atoms from Rb at (0.1922, 0.3078, 0.0000), Cd at (0.1077, 0.6077, 0.5000) and I at (0.0000, 0.0000, 0.5000).

As for the volume: 45.70 Å³ per atom.



Model iii:
Compound: Rb2Cd2I
Source: the Alexandria database
Functional: PBE-GGA
Structure: relaxed

The space group is P4/mbm (No. 127) and the conventional cell measures 9.9890, 9.9890 and 5.2212 Å, with angles of 90.00, 90.00 and 90.00 degrees. Symmetry generates all atoms from Rb at (0.1910, 0.3090, 0.0000), Cd at (0.1073, 0.6073, 0.5000) and I at (0.0000, 0.0000, 0.0000).

As for the volume: 52.10 Å³ per atom.



It is model ii that is most stable; the runner-up trails by 5 meV per atom.



Model i:
Compound: RbCdI2
Source: the Alexandria database
Functional: PBE-GGA
Structure: relaxed

The space group is R-3m (No. 166, hexagonal axes) and the conventional cell measures 4.6741, 4.6741 and 31.4316 Å, with angles of 90.00, 90.00 and 120.00 degrees. Symmetry generates all atoms from Rb at (0.0000, 0.0000, 0.0000), Cd at (0.0000, 0.0000, 0.5000) and I at (0.0000, 0.0000, 0.1117).

As for the volume: 49.56 Å³ per atom.



Model ii:
Compound: RbCdI2
Source: the Alexandria database
Functional: PBE-GGA
Structure: relaxed

The space group is Fm-3m (No. 225) and the conventional cell measures 8.5479, 8.5479 and 8.5479 Å, with angles of 90.00, 90.00 and 90.00 degrees. Symmetry generates all atoms from Rb at (0.0000, 0.0000, 0.0000), Cd at (0.0000, 0.0000, 0.5000) and I at (0.2500, 0.2500, 0.2500).

As for the volume: 39.04 Å³ per atom.



It is model ii that is most stable; the runner-up trails by 169 meV per atom.